Below is a geometry-optimized ZrIr3Ru structure, with properties calculated at the PBEsol level.

The structure in POSCAR format:
```
ZrIr3Ru
1.0
4.706 0.000 0.000
0.000 4.706 0.000
0.000 0.000 4.706
Zr Ir Ru
1 3 1
Cartesian
0.000 0.000 0.000 Zr
0.000 0.000 2.353 Ir
0.000 2.353 0.000 Ir
2.353 0.000 0.000 Ir
2.353 2.353 2.353 Ru
```

Computed properties:
Space group = Pm-3m, No. 221
M_tot = 0.7705 μB/atom
Density of states at the Fermi level = 7.10 states/eV per cell
Energy of formation = 2.183 eV/atom